(1)
An optimized crystal structure of PmPr2NdH, computed with PBE.

Lattice parameters (Å, degrees): 5.2062 5.2062 5.1840 90.00 90.00 90.00
Fractional coordinates of all 5 atoms:
Pm 0.0000 0.0000 0.0000
Pr 0.0000 0.5000 0.5000
Pr 0.5000 0.0000 0.5000
Nd 0.5000 0.5000 0.0000
H 0.0000 0.0000 0.5000

The mass density is 6.761 Mg/m³. The value obtained for the size of the total moment is 0.00 μB/f.u. For the total energy, the calculation gives -4.660 eV per atom. For the density of states at the Fermi level, the calculation gives 0.88 states/eV per atom.


(2)
An optimized crystal structure of LaMnAs, computed with PBE.

Lattice parameters (Å, degrees): 4.5335 4.5335 4.5335 60.00 60.00 60.00
Fractional coordinates of all 3 atoms:
La 0.0000 0.0000 0.0000
Mn 0.2500 0.2500 0.2500
As 0.5000 0.5000 0.5000

The mass density is 6.774 Mg/m³. The value obtained for the size of the total moment is 3.00 μB/f.u. For the total energy, the calculation gives -6.602 eV per atom. The formation energy from the elements is -0.3534 eV per atom. For the density of states at the Fermi level, the calculation gives 0.80 states/eV per atom.


(3)
An optimized crystal structure of CaAs2IrRu, computed with PBE.

Lattice parameters (Å, degrees): 4.7299 4.7299 5.2827 90.00 90.00 90.00
Fractional coordinates of all 5 atoms:
Ca 0.0000 0.0000 0.0000
As 0.0000 0.5000 0.5000
As 0.5000 0.0000 0.5000
Ir 0.0000 0.0000 0.5000
Ru 0.5000 0.5000 0.0000

The mass density is 6.789 Mg/m³. The value obtained for the size of the total moment is 1.39 μB/f.u. For the total energy, the calculation gives -5.177 eV per atom. The formation energy from the elements is 0.7102 eV per atom. The value obtained for the polymorph energy (0 for the lowest one) is 1335 meV per atom. For the density of states at the Fermi level, the calculation gives 1.09 states/eV per atom.


(4)
An optimized crystal structure of CsRe3W, computed with PBE.

Lattice parameters (Å, degrees): 4.7831 4.7831 4.7831 90.00 90.00 90.00
Fractional coordinates of all 5 atoms:
Cs 0.0000 0.0000 0.0000
Re 0.0000 0.0000 0.5000
Re 0.0000 0.5000 0.0000
Re 0.5000 0.0000 0.0000
W 0.5000 0.5000 0.5000

The mass density is 13.283 Mg/m³. The value obtained for the size of the total moment is 0.00 μB/f.u. For the total energy, the calculation gives -5.838 eV per atom. The formation energy from the elements is 4.3922 eV per atom. For the density of states at the Fermi level, the calculation gives 1.18 states/eV per atom.


Question: Which value of size of the total moment does entry 3 give?
Answer: 1.39 μB/f.u.


Question: What is the formula in the first record?
Answer: PmPr2NdH


Question: Look up the size of the total moment of the fourth one.
Answer: 0.00 μB/f.u.